Record 1
Here is a PBEsol-optimized structure of Sc2TaBe from Alexandria via LeMat-Bulk. Energies are from meta-GGA SCAN.

a = 4.5996 Å, b = 4.5996 Å, c = 4.5996 Å
α = 60.00°, β = 60.00°, γ = 60.00°
With the nearest neighbours (Å) after each atom.
Fractional coordinates of all 4 atoms:
Sc 0.0000 0.0000 0.0000  4 Ta 2.82, 4 Sc 2.82
Sc 0.2500 0.2500 0.2500  4 Be 2.82, 4 Sc 2.82
Ta 0.7500 0.7500 0.7500  4 Be 2.82, 4 Sc 2.82
Be 0.5000 0.5000 0.5000  4 Ta 2.82, 4 Sc 2.82

Results
As for the electronic total energy: -1.795 Ry/atom. For the spin magnetization, the calculation gives 0.00 μB/cell.


Record 2
Here is a PBEsol-optimized structure of Sc2TaBe from Alexandria via LeMat-Bulk. Energies are from meta-GGA SCAN.

a = 4.4356 Å, b = 5.6589 Å, c = 5.6589 Å
α = 31.07°, β = 90.00°, γ = 90.00°
With the nearest neighbours (Å) after each atom.
Fractional coordinates of all 4 atoms:
Sc 0.0000 0.0000 0.0000  3 Be 2.87-3.02, 4 Ta 2.91, 2 Sc 3.03
Sc 0.5000 0.3251 0.3251  3 Ta 2.87-3.01, 4 Be 2.91, 2 Sc 3.03
Ta 0.5000 0.6016 0.6016  2 Be 2.58, 2 Sc 2.87
Be 0.0000 0.7231 0.7231  2 Ta 2.58, 2 Sc 2.87

Results
As for the electronic total energy: -1.810 Ry/atom. For the spin magnetization, the calculation gives 0.00 μB/cell.


What is the electronic total energy in the first record?
-1.795 Ry/atom